# 1
Density functional theory data (SCAN) for a PBEsol-optimized structure of Ca2ZrTe. Values from VASP.

Results
symmetry = F-43m
ΔE_f (raw) = 0.022 eV per atom
size of the total moment = 0.00 μB per formula unit

Structure (Quantum ESPRESSO input):
```
&SYSTEM
  ibrav = 0, nat = 4, ntyp = 3
/
ATOMIC_SPECIES
Ca 40.08 Ca.upf
Te 127.60 Te.upf
Zr 91.22 Zr.upf
ATOMIC_POSITIONS angstrom
Ca 0.0000 0.0000 0.0000
Ca -2.0099 5.9066 7.2904
Te -1.3400 3.9377 4.8602
Zr -0.6700 1.9689 2.4301
CELL_PARAMETERS angstrom
-3.4638 3.4267 1.8821
-0.8594 0.2868 5.1440
1.6432 4.1620 2.6943
```

***

# 2
Density functional theory data (SCAN) for a PBEsol-optimized structure of BeNbPO2. Values from VASP.

Results
symmetry = P4/mmm
ΔE_f (raw) = -0.705 eV per atom
size of the total moment = 0.00 μB per formula unit

Structure (Quantum ESPRESSO input):
```
&SYSTEM
  ibrav = 0, nat = 5, ntyp = 4
/
ATOMIC_SPECIES
P 30.97 P.upf
Nb 92.91 Nb.upf
O 16.00 O.upf
Be 9.01 Be.upf
ATOMIC_POSITIONS angstrom
P -0.6005 0.6648 2.0113
Nb -2.8453 1.2099 1.1609
O -1.4998 -0.8687 -0.1607
O -0.7450 1.4138 -0.6898
Be 0.0000 0.0000 0.0000
CELL_PARAMETERS angstrom
-1.4901 2.8276 -1.3795
-2.9995 -1.7374 -0.3213
-1.2011 1.3296 4.0227
```

***

# 3
Density functional theory data (SCAN) for a PBEsol-optimized structure of BeRe2As. Values from VASP.

Results
energy above the lowest structure with this stoichiometry = 2.26 eV/f.u.
symmetry = Pmmm
size of the total moment = 0.00 μB per formula unit

Structure (Quantum ESPRESSO input):
```
&SYSTEM
  ibrav = 0, nat = 4, ntyp = 3
/
ATOMIC_SPECIES
Re 186.21 Re.upf
As 74.92 As.upf
Be 9.01 Be.upf
ATOMIC_POSITIONS angstrom
Re 0.0000 0.0000 0.0000
Re 1.7003 -2.1364 -0.0086
As -0.6677 -1.5572 -1.8291
Be 1.9598 -0.8881 -2.1512
CELL_PARAMETERS angstrom
-0.9272 -2.8055 0.3135
-0.4083 -0.3089 -3.9717
4.3278 -1.4672 -0.3307
```

***

# 4
Density functional theory data (SCAN) for a PBEsol-optimized structure of CaTa2Mn. Values from VASP.

Results
energy above the lowest structure with this stoichiometry = 0.00 eV/f.u.
symmetry = Imm2
size of the total moment = 0.00 μB per formula unit

Structure (Quantum ESPRESSO input):
```
&SYSTEM
  ibrav = 0, nat = 4, ntyp = 3
/
ATOMIC_SPECIES
Ca 40.08 Ca.upf
Mn 54.94 Mn.upf
Ta 180.95 Ta.upf
ATOMIC_POSITIONS angstrom
Ca -2.4720 -0.4880 1.2991
Mn -1.0494 -2.8622 1.7583
Ta -1.0064 -3.0429 4.1024
Ta 0.2816 -0.5967 2.8007
CELL_PARAMETERS angstrom
-1.1721 1.8316 2.2820
-3.9964 -2.4165 -0.1130
4.3375 -2.7637 2.2689
```

***

# 5
Density functional theory data (SCAN) for a PBEsol-optimized structure of Rh2WAu. Values from VASP.

Results
energy above the lowest structure with this stoichiometry = 0.00 eV/f.u.
symmetry = P4/mmm
size of the total moment = 0.00 μB per formula unit

Structure (Quantum ESPRESSO input):
```
&SYSTEM
  ibrav = 0, nat = 4, ntyp = 3
/
ATOMIC_SPECIES
Au 196.97 Au.upf
Rh 102.91 Rh.upf
W 183.84 W.upf
ATOMIC_POSITIONS angstrom
Au -0.3212 -3.5513 2.4888
Rh -0.5977 -2.7993 5.2252
Rh -0.1815 -0.8501 1.5867
W 0.0683 -1.7266 -0.9172
CELL_PARAMETERS angstrom
-1.8768 -1.6945 -1.1225
2.0135 -1.7586 -0.7119
-0.7792 -3.6494 6.8119
```

***

# 6
Density functional theory data (SCAN) for a PBEsol-optimized structure of MgZr2Ta. Values from VASP.

Results
symmetry = P4/mmm
size of the total moment = 0.00 μB per formula unit
raw total energy = -33.15 eV per atom

Structure (Quantum ESPRESSO input):
```
&SYSTEM
  ibrav = 0, nat = 4, ntyp = 3
/
ATOMIC_SPECIES
Mg 24.30 Mg.upf
Zr 91.22 Zr.upf
Ta 180.95 Ta.upf
ATOMIC_POSITIONS angstrom
Mg -1.0467 -0.2681 2.1934
Zr 3.1989 3.3840 1.9402
Zr 1.1906 1.2595 0.7221
Ta 1.1481 2.0536 3.5245
CELL_PARAMETERS angstrom
-2.6211 1.5253 1.6613
0.5278 -2.0615 2.7254
4.3896 4.6435 2.6624
```